Entry 1:
The following is a DFT calculation (PBE) of a relaxed structure of MnCoSe2N.

Cell and atoms, written as CIF:
```
data_MnCoSe2N
_chemical_formula_sum 'Mn1 Co1 Se2 N1'
_space_group_name_H-M_alt 'P 4/m m m'
_space_group_IT_number 123
_space_group_name_Hall '-P 4 2'
_cell_length_a 4.950
_cell_length_b 4.950
_cell_length_c 3.385
_cell_angle_alpha 90.00
_cell_angle_beta 90.00
_cell_angle_gamma 90.00
loop_
_atom_site_label
_atom_site_fract_x
_atom_site_fract_y
_atom_site_fract_z
_atom_site_occupancy
Mn1 0.000 0.000 0.000 1
Co1 0.500 0.500 0.500 1
Se1 0.000 0.500 0.500 1
N1 0.500 0.500 0.000 1
```

For the total magnetic moment, the calculation gives 4.4 Bohr magnetons per cell. As for the raw formation energy: 0.335 eV per atom. As for the energy above the lowest structure with this stoichiometry: 0.0 meV/atom. The total energy is -29.90 eV per cell.

Entry 2:
The following is a DFT calculation (PBE) of a relaxed structure of DyTm4Sc4.

Cell and atoms, written as CIF:
```
data_DyTm4Sc4
_chemical_formula_sum 'Dy2 Tm8 Sc8'
_space_group_name_H-M_alt 'I 4/m m m'
_space_group_IT_number 139
_space_group_name_Hall '-I 4 2'
_cell_length_a 10.188
_cell_length_b 10.188
_cell_length_c 4.789
_cell_angle_alpha 90.00
_cell_angle_beta 90.00
_cell_angle_gamma 90.00
loop_
_atom_site_label
_atom_site_fract_x
_atom_site_fract_y
_atom_site_fract_z
_atom_site_occupancy
Dy1 0.000 0.000 0.000 1
Tm1 0.000 0.330 0.000 1
Sc1 0.167 0.167 0.500 1
```

For the total magnetic moment, the calculation gives 0.0 Bohr magnetons per cell. The calculation puts the formation enthalpy at 0 K at 0.47 eV/f.u. As for the energy above the lowest structure with this stoichiometry: 0.0 meV/atom. The total energy is -94.69 eV per cell.

Entry 3:
The following is a DFT calculation (PBE) of a relaxed structure of Te4IrPd.

Cell and atoms, written as CIF:
```
data_Te4IrPd
_chemical_formula_sum 'Te16 Ir4 Pd4'
_space_group_name_H-M_alt 'I 41 m d'
_space_group_IT_number 109
_space_group_name_Hall 'I 4bw -2'
_cell_length_a 8.740
_cell_length_b 8.740
_cell_length_c 8.471
_cell_angle_alpha 90.00
_cell_angle_beta 90.00
_cell_angle_gamma 90.00
loop_
_atom_site_label
_atom_site_fract_x
_atom_site_fract_y
_atom_site_fract_z
_atom_site_occupancy
Te1 0.000 0.192 0.000 1
Te2 0.000 0.194 0.493 1
Ir1 0.000 0.000 0.245 1
Pd1 0.000 0.000 0.749 1
```

For the total magnetic moment, the calculation gives 0.0 Bohr magnetons per cell. As for the raw formation energy: -0.053 eV per atom. As for the energy above the lowest structure with this stoichiometry: 218.5 meV/atom. The total energy is -107.75 eV per cell.

Entry 4:
The following is a DFT calculation (PBE) of a relaxed structure of YbPmHg2.

Cell and atoms, written as CIF:
```
data_YbPmHg2
_chemical_formula_sum 'Yb4 Pm4 Hg8'
_space_group_name_H-M_alt 'F m -3 m'
_space_group_IT_number 225
_space_group_name_Hall '-F 4 2 3'
_cell_length_a 7.568
_cell_length_b 7.568
_cell_length_c 7.568
_cell_angle_alpha 90.00
_cell_angle_beta 90.00
_cell_angle_gamma 90.00
loop_
_atom_site_label
_atom_site_fract_x
_atom_site_fract_y
_atom_site_fract_z
_atom_site_occupancy
Yb1 0.000 0.000 0.000 1
Pm1 0.000 0.000 0.500 1
Hg1 0.250 0.250 0.250 1
```

For the total magnetic moment, the calculation gives 1.0 Bohr magnetons per cell. The calculation puts the formation enthalpy at 0 K at -2.23 eV/f.u. The total energy is -36.45 eV per cell.

Entry 5:
The following is a DFT calculation (PBE) of a relaxed structure of AlAs.

Cell and atoms, written as CIF:
```
data_AlAs
_chemical_formula_sum 'Al4 As4'
_space_group_name_H-M_alt 'C m c m'
_space_group_IT_number 63
_space_group_name_Hall '-C 2c 2'
_cell_length_a 3.551
_cell_length_b 13.887
_cell_length_c 3.586
_cell_angle_alpha 90.00
_cell_angle_beta 90.00
_cell_angle_gamma 90.00
loop_
_atom_site_label
_atom_site_fract_x
_atom_site_fract_y
_atom_site_fract_z
_atom_site_occupancy
Al1 0.000 0.185 0.250 1
As1 0.000 0.371 0.250 1
```

For the total magnetic moment, the calculation gives 0.0 Bohr magnetons per cell. The calculation puts the formation enthalpy at 0 K at -0.25 eV/f.u. The total energy is -34.57 eV per cell.

Entry 6:
The following is a DFT calculation (PBE) of a relaxed structure of Th4Te2PtC.

Cell and atoms, written as CIF:
```
data_Th4Te2PtC
_chemical_formula_sum 'Th4 Te2 Pt1 C1'
_space_group_name_H-M_alt 'P 1 2/m 1'
_space_group_IT_number 10
_cell_length_a 7.342
_cell_length_b 4.020
_cell_length_c 7.784
_cell_angle_alpha 90.00
_cell_angle_beta 107.24
_cell_angle_gamma 90.00
loop_
_space_group_symop_operation_xyz
'x,y,z'
'-x,-y,-z'
'-x,y,-z'
'x,-y,z'
loop_
_atom_site_label
_atom_site_fract_x
_atom_site_fract_y
_atom_site_fract_z
_atom_site_occupancy
Th1 0.206 0.000 0.194 1
Th2 0.247 0.500 0.797 1
Te1 0.000 0.000 0.500 1
Te2 0.500 0.500 0.500 1
Pt1 0.500 0.000 0.000 1
C1 0.000 0.500 0.000 1
```

For the total magnetic moment, the calculation gives 0.0 Bohr magnetons per cell. As for the raw formation energy: -0.920 eV per atom. The total energy is -58.59 eV per cell.

Entry 7:
The following is a DFT calculation (PBE) of a relaxed structure of SrZn2Tc.

Cell and atoms, written as CIF:
```
data_SrZn2Tc
_chemical_formula_sum 'Sr1 Zn2 Tc1'
_space_group_name_H-M_alt 'P 4/m m m'
_space_group_IT_number 123
_space_group_name_Hall '-P 4 2'
_cell_length_a 3.414
_cell_length_b 3.414
_cell_length_c 6.738
_cell_angle_alpha 90.00
_cell_angle_beta 90.00
_cell_angle_gamma 90.00
loop_
_atom_site_label
_atom_site_fract_x
_atom_site_fract_y
_atom_site_fract_z
_atom_site_occupancy
Sr1 0.000 0.000 0.000 1
Zn1 0.500 0.500 0.319 1
Tc1 0.000 0.000 0.500 1
```

For the total magnetic moment, the calculation gives 0.0 Bohr magnetons per cell. The calculation puts the formation enthalpy at 0 K at 0.78 eV/f.u. As for the energy above the lowest structure with this stoichiometry: 0.0 meV/atom. The total energy is -13.82 eV per cell.

Entry 8:
The following is a DFT calculation (PBE) of a relaxed structure of YVHgCl2.

Cell and atoms, written as CIF:
```
data_YVHgCl2
_chemical_formula_sum 'Y1 V1 Hg1 Cl2'
_space_group_name_H-M_alt 'P 4/m m m'
_space_group_IT_number 123
_space_group_name_Hall '-P 4 2'
_cell_length_a 4.668
_cell_length_b 4.668
_cell_length_c 5.697
_cell_angle_alpha 90.00
_cell_angle_beta 90.00
_cell_angle_gamma 90.00
loop_
_atom_site_label
_atom_site_fract_x
_atom_site_fract_y
_atom_site_fract_z
_atom_site_occupancy
Y1 0.000 0.000 0.000 1
V1 0.500 0.500 0.500 1
Hg1 0.500 0.500 0.000 1
Cl1 0.000 0.500 0.500 1
```

For the total magnetic moment, the calculation gives 2.1 Bohr magnetons per cell. As for the raw formation energy: -0.362 eV per atom. The total energy is -21.39 eV per cell.

Entry 9:
The following is a DFT calculation (PBE) of a relaxed structure of Nb2VTe6.

Cell and atoms, written as CIF:
```
data_Nb2VTe6
_chemical_formula_sum 'Nb4 V2 Te12'
_space_group_name_H-M_alt 'P 1 21/c 1'
_space_group_IT_number 14
_cell_length_a 6.986
_cell_length_b 7.220
_cell_length_c 10.505
_cell_angle_alpha 90.00
_cell_angle_beta 122.50
_cell_angle_gamma 90.00
loop_
_space_group_symop_operation_xyz
'x,y,z'
'-x,-y,-z'
'-x,y+1/2,-z+1/2'
'x,-y+1/2,z+1/2'
loop_
_atom_site_label
_atom_site_fract_x
_atom_site_fract_y
_atom_site_fract_z
_atom_site_occupancy
Nb1 0.239 0.142 0.255 1
V1 0.000 0.000 0.500 1
Te1 0.078 0.161 0.923 1
Te2 0.306 0.667 0.945 1
Te3 0.401 0.004 0.763 1
```

For the total magnetic moment, the calculation gives 2.6 Bohr magnetons per cell. As for the raw formation energy: -0.197 eV per atom. As for the energy above the lowest structure with this stoichiometry: 193.8 meV/atom. The total energy is -99.75 eV per cell.

Entry 10:
The following is a DFT calculation (PBE) of a relaxed structure of Pm5HoEr2Tm.

Cell and atoms, written as CIF:
```
data_Pm5HoEr2Tm
_chemical_formula_sum 'Pm20 Ho4 Er8 Tm4'
_space_group_name_H-M_alt 'C m c 21'
_space_group_IT_number 36
_cell_length_a 5.614
_cell_length_b 20.202
_cell_length_c 10.643
_cell_angle_alpha 90.00
_cell_angle_beta 90.00
_cell_angle_gamma 90.00
loop_
_space_group_symop_operation_xyz
'x,y,z'
'-x,-y,z+1/2'
'-x,y,z'
'x,-y,z+1/2'
'x+1/2,y+1/2,z'
'-x+1/2,-y+1/2,z+1/2'
'-x+1/2,y+1/2,z'
'x+1/2,-y+1/2,z+1/2'
loop_
_atom_site_label
_atom_site_fract_x
_atom_site_fract_y
_atom_site_fract_z
_atom_site_occupancy
Pm1 0.000 0.017 0.000 1
Pm2 0.000 0.116 0.278 1
Pm3 0.000 0.202 0.965 1
Pm4 0.000 0.220 0.570 1
Pm5 0.000 0.483 0.274 1
Ho1 0.000 0.091 0.719 1
Er1 0.000 0.386 0.567 1
Er2 0.000 0.388 0.996 1
Tm1 0.000 0.302 0.268 1
```

For the total magnetic moment, the calculation gives 0.0 Bohr magnetons per cell. The calculation puts the formation enthalpy at 0 K at 1.32 eV/f.u. The total energy is -162.43 eV per cell.